#A
Here is a relaxed Ac2NiHg crystal from Alexandria. Energies are from PBE.

Its symmetry is P4/mmm.

Cell and atoms, written as POSCAR:
```
Ac2NiHg
1.0
-1.419 -0.958 3.387
-1.338 -3.232 -1.474
6.929 -3.714 1.853
Ac Ni Hg
2 1 1
direct
0.000 0.000 0.221
0.000 0.000 0.779
0.500 0.500 0.000
0.500 0.500 0.500
```

#B
Here is a relaxed Ac2NiHg crystal from Alexandria. Energies are from PBE.

Its symmetry is P-3m1.

Cell and atoms, written as POSCAR:
```
Ac2NiHg
1.0
4.386 0.000 0.000
2.193 3.798 0.000
0.000 0.000 7.920
Ni Ac Hg
1 2 1
direct
0.000 0.000 0.000
0.667 0.667 0.199
0.333 0.333 0.801
0.000 0.000 0.500
```

Short version: #A is the least stable of them.

#A
Here is a relaxed Ac2NiHg crystal from Alexandria. Energies are from PBE.

Its symmetry is R3m.

Cell and atoms, written as POSCAR:
```
Ac2NiHg
1.0
4.332 0.000 0.000
2.166 3.751 0.000
2.166 1.250 8.047
Hg Ac Ni
1 2 1
direct
0.500 0.500 0.501
0.067 0.067 0.798
0.267 0.267 0.200
0.666 0.666 0.002
```

#B
Here is a relaxed Ac2NiHg crystal from Alexandria. Energies are from PBE.

Its symmetry is R-3m.

Cell and atoms, written as POSCAR:
```
Ac2NiHg
1.0
-0.339 2.259 3.044
1.971 -0.763 3.165
8.569 6.490 -1.484
Ac Ni Hg
2 1 1
direct
0.083 0.083 0.750
0.917 0.917 0.250
0.000 0.000 0.000
0.500 0.500 0.500
```

Short version: #B is the least stable of them.

#A
Here is a relaxed Ac3NiHg crystal from Alexandria. Energies are from PBE.

Its symmetry is Cmmm.

Cell and atoms, written as POSCAR:
```
Ac3NiHg
1.0
-4.161 -0.410 0.588
-0.041 -7.595 -5.582
1.482 -7.830 5.026
Hg Ni Ac
2 2 6
direct
0.863 0.194 0.246
0.363 0.694 0.746
0.363 0.694 0.246
0.364 0.194 0.746
0.863 0.013 0.671
0.863 0.769 0.428
0.863 0.375 0.822
0.363 0.014 0.066
0.863 0.619 0.065
0.363 0.374 0.426
```

#B
Here is a relaxed Ac3NiHg crystal from Alexandria. Energies are from PBE.

Its symmetry is Pm-3m.

Cell and atoms, written as POSCAR:
```
Ac3NiHg
1.0
5.658 0.000 0.000
0.000 5.658 0.000
0.000 0.000 5.658
Ac Hg Ni
3 1 1
direct
0.500 0.000 0.000
0.000 0.000 0.500
0.000 0.500 0.000
0.500 0.500 0.500
0.000 0.000 0.000
```

#C
Here is a relaxed Ac3NiHg crystal from Alexandria. Energies are from PBE.

Its symmetry is C2/m.

Cell and atoms, written as POSCAR:
```
Ac3NiHg
1.0
2.084 8.712 -0.243
-2.084 8.712 -0.243
0.000 0.577 9.144
Ac Ni Hg
6 2 2
direct
0.548 0.548 0.206
0.252 0.252 0.207
0.891 0.891 0.452
0.109 0.109 0.548
0.452 0.452 0.794
0.748 0.748 0.793
0.283 0.283 0.557
0.717 0.717 0.443
0.899 0.899 0.071
0.101 0.101 0.929
```

Short version: #B is the least stable of them.